Record 1
Compound: RbScCrF6
Source: the Alexandria database
Functional: GGA+U
Structure: optimized geometry

Properties
**Electronic total energy**: -6.147 eV per atom
**Crystal system**: orthorhombic

Cell: 7.734 7.734 7.734 Å, 123.08 118.82 88.40°
Fractional positions:
Rb (0.344, 0.094, 0.250)
Rb (0.656, 0.906, 0.750)
Sc (0.000, 0.500, 0.500)
Sc (0.500, 0.500, 0.000)
Cr (0.000, 0.000, 0.500)
Cr (0.000, 0.500, 0.000)
F (0.071, 0.821, 0.250)
F (0.079, 0.423, 0.259)
F (0.079, 0.820, 0.656)
F (0.302, 0.552, 0.750)
F (0.335, 0.180, 0.759)
F (0.335, 0.577, 0.156)
F (0.665, 0.423, 0.844)
F (0.665, 0.820, 0.241)
F (0.698, 0.448, 0.250)
F (0.921, 0.180, 0.344)
F (0.921, 0.577, 0.741)
F (0.929, 0.179, 0.750)

Record 2
Compound: KMg2VF8
Source: the Alexandria database
Functional: GGA+U
Structure: optimized geometry

Properties
**Electronic total energy**: -5.387 eV per atom
**Crystal system**: monoclinic

Cell: 5.049 5.049 7.068 Å, 97.90 97.90 80.31°
Fractional positions:
K (0.000, 0.000, 0.000)
Mg (0.455, 0.455, 0.775)
Mg (0.545, 0.545, 0.225)
V (0.000, 0.000, 0.500)
F (0.215, 0.773, 0.301)
F (0.227, 0.785, 0.699)
F (0.255, 0.255, 0.554)
F (0.340, 0.340, 0.002)
F (0.660, 0.660, 0.998)
F (0.745, 0.745, 0.446)
F (0.773, 0.215, 0.301)
F (0.785, 0.227, 0.699)

Question: Which formula does entry 2 have?
Answer: KMg2VF8